Compound: AlAg7
Source: Alexandria
Functional: PBE
Structure: optimized geometry

Cell and atoms, written as POSCAR:
```
AlAg7
1.0
-0.2032 2.3105 -1.8331
-2.0412 -11.7027 -14.5246
-2.4015 -0.9737 1.4229
Ag Al
7 1
Direct
0.9972 0.9917 0.9945 Ag
0.3734 0.1203 0.7469 Ag
0.7494 0.2481 0.4987 Ag
0.1250 0.3750 0.2500 Ag
0.5006 0.5019 0.0013 Ag
0.8766 0.6297 0.7531 Ag
0.2528 0.7583 0.5055 Ag
0.6250 0.8750 0.2500 Al
```

Output
* symmetry: R-3m, No. 166
* magnetization: 0.0 μB/cell
* ΔE to the lowest computed polymorph: 0.0325 eV per atom
* final energy: -2.955 eV per atom

***

Compound: Ba2UPt2Se6
Source: Alexandria
Functional: PBE
Structure: optimized geometry

Cell and atoms, written as POSCAR:
```
Ba2UPt2Se6
1.0
-5.9819 -3.5488 1.0866
5.5025 -0.5788 5.5977
-4.1858 6.7192 -1.0991
Ba U Pt Se
2 1 2 6
Direct
0.7345 0.4689 0.2360 Ba
0.2655 0.5311 0.7640 Ba
0.5000 0.0000 0.5000 U
0.9288 0.8576 0.7687 Pt
0.0712 0.1424 0.2313 Pt
0.7276 0.4552 0.6470 Se
0.1721 0.8687 0.1997 Se
0.3034 0.1313 0.8003 Se
0.8279 0.1313 0.8003 Se
0.6966 0.8687 0.1997 Se
0.2724 0.5448 0.3530 Se
```

Output
* symmetry: C2/m, No. 12
* magnetization: 0.0 μB/cell
* energy relative to the elements, uncorrected: -96.6 kJ/mol of atoms
* final energy: -5.376 eV per atom

***

Compound: Er2PuAl
Source: Alexandria
Functional: PBE
Structure: optimized geometry

Cell and atoms, written as POSCAR:
```
Er2PuAl
1.0
-3.2534 1.1594 0.0264
-2.4185 -1.6830 1.8021
0.2540 5.6541 8.9313
Er Al Pu
2 1 1
Direct
0.7413 0.7413 0.7761 Er
0.2587 0.2587 0.2239 Er
0.0000 0.0000 0.0000 Al
0.5000 0.5000 0.5000 Pu
```

Output
* symmetry: R-3m, No. 166
* magnetization: 6.2 μB/cell
* ΔE to the lowest computed polymorph: 0.1229 eV per atom
* final energy: -6.799 eV per atom

***

Compound: ZrZn2NiAs
Source: Alexandria
Functional: PBE
Structure: optimized geometry

Cell and atoms, written as POSCAR:
```
ZrZn2NiAs
1.0
4.4406 0.0000 0.0000
0.0000 4.4406 0.0000
0.0000 0.0000 4.8633
Ni As Zn Zr
1 1 2 1
Direct
0.0000 0.0000 0.0000 Ni
0.5000 0.5000 0.5000 As
0.0000 0.5000 0.0000 Zn
0.5000 0.0000 0.0000 Zn
0.0000 0.0000 0.5000 Zr
```

Output
* symmetry: P4/mmm, No. 123
* magnetization: 0.0 μB/cell
* final energy: -4.270 eV per atom

***

Compound: AcPr12Tm7
Source: Alexandria
Functional: PBE
Structure: optimized geometry

Cell and atoms, written as POSCAR:
```
AcPr12Tm7
1.0
8.6290 1.1389 1.7095
-1.3054 8.6054 1.7095
-1.3054 -1.7368 8.5999
Ac Pr Tm
1 12 7
Direct
0.0000 0.0000 0.0000 Ac
0.8649 0.2791 0.7248 Pr
0.7209 0.2752 0.1351 Pr
0.6278 0.1428 0.4964 Pr
0.8572 0.5036 0.3722 Pr
0.2752 0.1351 0.7209 Pr
0.5036 0.3722 0.8572 Pr
0.4964 0.6278 0.1428 Pr
0.7248 0.8649 0.2791 Pr
0.1428 0.4964 0.6278 Pr
0.3722 0.8572 0.5036 Pr
0.2791 0.7248 0.8649 Pr
0.1351 0.7209 0.2752 Pr
0.8479 0.6148 0.9397 Tm
0.3852 0.0603 0.1521 Tm
0.0603 0.1521 0.3852 Tm
0.5000 0.5000 0.5000 Tm
0.9397 0.8479 0.6148 Tm
0.6148 0.9397 0.8479 Tm
0.1521 0.3852 0.0603 Tm
```

Output
* symmetry: R-3, No. 148
* magnetization: 0.0 μB/cell
* ΔE to the lowest computed polymorph: 0.0000 eV per atom
* final energy: -4.420 eV per atom

***

Compound: Th4NiGe8
Source: Alexandria
Functional: PBE
Structure: optimized geometry

Cell and atoms, written as POSCAR:
```
Th4NiGe8
1.0
-0.7999 -3.6618 1.6351
3.2906 0.4202 2.5507
-9.8952 7.3231 11.5593
Th Ni Ge
4 1 8
Direct
0.0000 0.0000 0.1058 Th
0.0000 0.5000 0.6079 Th
0.5000 0.5000 0.3950 Th
0.5000 0.0000 0.8915 Th
0.0000 0.0000 0.3160 Ni
0.0000 0.0000 0.4563 Ge
0.0000 0.5000 0.9487 Ge
0.5000 0.5000 0.0460 Ge
0.5000 0.0000 0.5499 Ge
0.0000 0.5000 0.2437 Ge
0.0000 0.0000 0.7494 Ge
0.5000 0.0000 0.2430 Ge
0.5000 0.5000 0.7497 Ge
```

Output
* symmetry: Pmm2, No. 25
* magnetization: 0.0 μB/cell
* final energy: -6.220 eV per atom

***

Compound: SrTbTe2S6
Source: Alexandria
Functional: PBE
Structure: optimized geometry

Cell and atoms, written as POSCAR:
```
SrTbTe2S6
1.0
-5.7721 3.7131 1.5645
0.2617 -6.8818 1.4596
6.2375 1.1700 4.3991
Sr Tb Te S
1 1 2 6
Direct
0.9948 0.4969 0.4777 Sr
0.0081 0.0036 0.9976 Tb
0.5787 0.7888 0.3535 Te
0.5403 0.2696 0.7958 Te
0.5340 0.9191 0.7084 S
0.4821 0.0536 0.1842 S
0.7710 0.7163 0.1843 S
0.1447 0.4274 0.1843 S
0.8033 0.6139 0.7084 S
0.1086 0.1885 0.7084 S
```

Output
* symmetry: R3, No. 146
* magnetization: 1.0 μB/cell
* energy relative to the elements, uncorrected: -76.4 kJ/mol of atoms
* final energy: -4.528 eV per atom

***

Compound: Ho5Tm3Pb2
Source: Alexandria
Functional: PBE
Structure: optimized geometry

Cell and atoms, written as POSCAR:
```
Ho5Tm3Pb2
1.0
-4.6936 -3.0851 2.8478
4.1769 -8.7698 4.3463
-1.9543 5.0183 9.1785
Ho Tm Pb
10 6 4
Direct
0.2500 0.5000 0.5000 Ho
0.7500 0.5000 0.5000 Ho
0.5013 0.7487 0.7487 Ho
0.9987 0.2513 0.2513 Ho
0.4987 0.2513 0.2513 Ho
0.0013 0.7487 0.7487 Ho
0.1013 0.5652 0.2322 Ho
0.8987 0.4348 0.7678 Ho
0.6013 0.2322 0.5652 Ho
0.3987 0.7678 0.4348 Ho
0.2500 0.0000 0.0000 Tm
0.7500 0.0000 0.0000 Tm
0.3841 0.3179 0.9138 Tm
0.6159 0.6821 0.0862 Tm
0.8841 0.9138 0.3179 Tm
0.1159 0.0862 0.6821 Tm
0.1435 0.7086 0.0045 Pb
0.8565 0.2914 0.9955 Pb
0.6435 0.0045 0.7086 Pb
0.3565 0.9955 0.2914 Pb
```

Output
* symmetry: Ibam, No. 72
* magnetization: 0.0 μB/cell
* final energy: -4.270 eV per atom

***

Compound: Dy3HoEr2Bi6
Source: Alexandria
Functional: PBE
Structure: optimized geometry

Cell and atoms, written as POSCAR:
```
Dy3HoEr2Bi6
1.0
-4.3737 -0.7051 0.5067
0.7894 -7.8661 -4.1322
3.6317 -1.8957 9.0893
Dy Ho Er Bi
3 1 2 6
Direct
0.5000 0.5000 0.0000 Dy
0.8335 0.1671 0.6669 Dy
0.1665 0.8329 0.3331 Dy
0.5000 0.0000 0.0000 Ho
0.8334 0.6671 0.6667 Er
0.1666 0.3329 0.3333 Er
0.3335 0.9157 0.6670 Bi
0.6672 0.5818 0.3343 Bi
0.6665 0.0843 0.3330 Bi
0.0005 0.2496 0.0010 Bi
0.9995 0.7504 0.9990 Bi
0.3328 0.4182 0.6657 Bi
```

Output
* symmetry: C2/m, No. 12
* magnetization: 0.0 μB/cell
* final energy: -5.073 eV per atom

***

Compound: LiTbTl2Cl6
Source: Alexandria
Functional: PBE
Structure: optimized geometry

Cell and atoms, written as POSCAR:
```
LiTbTl2Cl6
1.0
-5.7533 3.2487 -3.0653
-4.1804 -1.8942 5.8387
2.4907 8.8931 4.6685
Li Tb Tl Cl
2 2 4 12
Direct
0.5000 0.0000 0.0000 Li
0.0000 0.5000 0.5000 Li
0.5000 0.0000 0.5000 Tb
0.0000 0.5000 0.0000 Tb
0.0111 0.9489 0.2520 Tl
0.5111 0.5511 0.7520 Tl
0.9889 0.0511 0.7480 Tl
0.4889 0.4489 0.2480 Tl
0.2908 0.7114 0.0342 Cl
0.7908 0.7886 0.5342 Cl
0.7092 0.2886 0.9658 Cl
0.2092 0.2114 0.4658 Cl
0.2895 0.7109 0.4663 Cl
0.7895 0.7891 0.9663 Cl
0.7105 0.2891 0.5337 Cl
0.2105 0.2109 0.0337 Cl
0.9331 0.5113 0.2525 Cl
0.4331 0.9887 0.7525 Cl
0.0669 0.4887 0.7475 Cl
0.5669 0.0113 0.2475 Cl
```

Output
* symmetry: P2_1/c, No. 14
* magnetization: 0.0 μB/cell
* energy relative to the elements, uncorrected: -164.1 kJ/mol of atoms
* final energy: -3.937 eV per atom

***

Compound: Ca2HPbAu
Source: Alexandria
Functional: PBE
Structure: optimized geometry

Cell and atoms, written as POSCAR:
```
Ca2HPbAu
1.0
5.3769 0.0000 0.0000
0.0000 5.3769 0.0000
0.0000 0.0000 3.8139
Pb H Ca Au
1 1 2 1
Direct
0.5000 0.5000 0.5000 Pb
0.0000 0.0000 0.0000 H
0.0000 0.5000 0.0000 Ca
0.5000 0.0000 0.0000 Ca
0.0000 0.0000 0.5000 Au
```

Output
* symmetry: P4/mmm, No. 123
* magnetization: 0.0 μB/cell
* final energy: -3.392 eV per atom

***

Compound: Ho2ScAu
Source: Alexandria
Functional: PBE
Structure: optimized geometry

Cell and atoms, written as POSCAR:
```
Ho2ScAu
1.0
3.6309 0.0000 0.0000
0.0000 3.6309 0.0000
0.0000 0.0000 7.6774
Sc Au Ho
1 1 2
Direct
0.5000 0.5000 0.5000 Sc
0.5000 0.5000 0.0000 Au
0.0000 0.0000 0.7754 Ho
0.0000 0.0000 0.2246 Ho
```

Output
* symmetry: P4/mmm, No. 123
* magnetization: 0.0 μB/cell
* ΔE to the lowest computed polymorph: 0.0000 eV per atom
* final energy: -5.075 eV per atom